Entry 1:
! PmTmNiSn | Alexandria via LeMat-Bulk | PBE | optimized geometry; values from VASP
&SYSTEM
  ibrav = 0, nat = 4, ntyp = 4
/
ATOMIC_SPECIES
Ni 58.69 Ni.upf
Tm 168.93 Tm.upf
Sn 118.71 Sn.upf
Pm 145.00 Pm.upf
CELL_PARAMETERS angstrom
5.135 0.000 0.000
2.567 4.447 0.000
2.567 1.482 4.193
ATOMIC_POSITIONS angstrom
Ni 7.702 4.447 3.144
Tm 5.135 2.965 2.096
Sn 2.567 1.482 1.048
Pm 0.000 0.000 0.000
! calculated formation energy = -0.4092 eV per atom
! symmetry = No. 216
! M_tot = 0.00 μB per formula unit


Entry 2:
! CaZnPt2 | Alexandria via LeMat-Bulk | PBE | optimized geometry; values from VASP
&SYSTEM
  ibrav = 0, nat = 8, ntyp = 3
/
ATOMIC_SPECIES
Zn 65.41 Zn.upf
Ca 40.08 Ca.upf
Pt 195.08 Pt.upf
CELL_PARAMETERS angstrom
4.784 0.000 0.000
0.000 4.784 0.000
2.392 2.392 8.548
ATOMIC_POSITIONS angstrom
Zn 0.000 0.000 0.000
Zn 4.784 2.392 4.274
Ca 2.392 2.392 0.000
Ca 2.392 4.784 4.274
Pt 4.387 1.196 2.137
Pt 5.182 3.588 2.137
Pt 3.588 2.790 6.411
Pt 5.980 1.995 6.411
! calculated formation energy = -0.3895 eV per atom
! symmetry = No. 122
! M_tot = 0.00 μB per formula unit


Entry 3:
! RhC2 | Alexandria via LeMat-Bulk | PBE | optimized geometry; values from VASP
&SYSTEM
  ibrav = 0, nat = 3, ntyp = 2
/
ATOMIC_SPECIES
C 12.01 C.upf
Rh 102.91 Rh.upf
CELL_PARAMETERS angstrom
-0.686 -1.248 -2.586
-1.843 -0.245 2.292
-1.817 3.296 -1.108
ATOMIC_POSITIONS angstrom
C -2.299 1.312 -1.708
C -1.662 0.156 -1.320
Rh -1.458 -0.579 0.666
! calculated formation energy = 0.9672 eV per atom
! symmetry = No. 187
! M_tot = 0.00 μB per formula unit


Entry 4:
! ErPuFe | Alexandria via LeMat-Bulk | PBE | optimized geometry; values from VASP
&SYSTEM
  ibrav = 0, nat = 3, ntyp = 3
/
ATOMIC_SPECIES
Pu 244.00 Pu.upf
Fe 55.84 Fe.upf
Er 167.26 Er.upf
CELL_PARAMETERS angstrom
3.422 0.000 0.000
0.000 3.422 0.000
-1.711 -1.711 5.530
ATOMIC_POSITIONS angstrom
Pu 0.000 0.000 3.282
Fe 1.711 1.711 2.088
Er 0.000 0.000 0.160
! calculated formation energy = 0.0824 eV per atom
! symmetry = No. 107
! M_tot = 4.08 μB per formula unit


Q: Look up the M_tot of the second one.
A: 0.00 μB per formula unit


Q: Among the records above, which one has the highest M_tot?
A: ErPuFe